(1)
Here is a geometry-optimized Pm2GaPb structure from Alexandria. Energies are from PBE.

Structure (POSCAR):
```
Pm2GaPb
1.0
3.527 0.000 0.000
0.000 3.527 0.000
0.000 0.000 8.740
Pm Ga Pb
2 1 1
Direct
0.000 0.000 0.227
0.000 0.000 0.773
0.500 0.500 0.000
0.500 0.500 0.500
```

Calculated values
For the formation energy, the calculation gives -2.09 eV/f.u. As for the space-group type: P4/mmm. The electronic total energy is -18.330 eV/cell.

***

(2)
Here is a geometry-optimized SiOsW2 structure from Alexandria. Energies are from PBE.

Structure (POSCAR):
```
SiOsW2
1.0
2.833 0.000 0.000
0.000 4.038 0.000
0.000 0.000 5.244
Si Os W
1 1 2
Direct
0.000 0.000 0.000
0.500 0.500 0.767
0.000 0.000 0.508
0.500 0.500 0.245
```

Calculated values
The formation energy (no corrections) comes out at 129.1 meV per atom. As for the space-group type: Pmm2. The electronic total energy is -42.043 eV/cell.

***

(3)
Here is a geometry-optimized Mg2In2PRh4 structure from Alexandria. Energies are from PBE.

Structure (POSCAR):
```
Mg2In2PRh4
1.0
-3.048 3.048 4.085
3.048 -3.048 4.085
3.048 3.048 -4.085
Mg In P Rh
2 2 1 4
Direct
0.199 0.199 0.000
0.801 0.801 0.000
0.250 0.750 0.500
0.750 0.250 0.500
0.500 0.500 0.000
0.244 0.244 0.488
0.244 0.756 0.000
0.756 0.244 0.000
0.756 0.756 0.512
```

Calculated values
For the formation energy, the calculation gives -3.89 eV/f.u. As for the space-group type: I4/mmm. The electronic total energy is -47.369 eV/cell.

***

(4)
Here is a geometry-optimized Np3Si4Ir7 structure from Alexandria. Energies are from PBE.

Structure (POSCAR):
```
Np3Si4Ir7
1.0
7.557 -1.996 0.000
7.557 1.996 0.000
-5.377 0.000 7.656
Np Si Ir
3 4 7
Direct
0.000 0.000 0.000
0.323 0.323 0.322
0.677 0.677 0.678
0.113 0.113 0.837
0.337 0.337 0.724
0.663 0.663 0.276
0.887 0.887 0.163
0.000 0.000 0.500
0.164 0.164 0.428
0.304 0.304 0.950
0.496 0.496 0.718
0.504 0.504 0.282
0.696 0.696 0.050
0.836 0.836 0.572
```

Calculated values
The formation energy (no corrections) comes out at -646.3 meV per atom. As for the space-group type: C2/m. The electronic total energy is -131.589 eV/cell.

***

(5)
Here is a geometry-optimized Cd2HgRu structure from Alexandria. Energies are from PBE.

Structure (POSCAR):
```
Cd2HgRu
1.0
5.868 0.000 0.000
0.000 8.399 0.000
0.000 0.000 3.114
Cd Hg Ru
4 2 2
Direct
0.250 0.250 0.000
0.250 0.750 0.000
0.750 0.250 0.000
0.750 0.750 0.000
0.000 0.000 0.500
0.500 0.500 0.500
0.000 0.500 0.500
0.500 0.000 0.500
```

Calculated values
For the formation energy, the calculation gives 1.12 eV/f.u. As for the space-group type: Cmmm. The electronic total energy is -20.575 eV/cell.

***

(6)
Here is a geometry-optimized LiEuDyTc structure from Alexandria. Energies are from PBE.

Structure (POSCAR):
```
LiEuDyTc
1.0
7.076 0.000 0.000
0.000 7.076 0.000
0.000 0.000 7.076
Li Eu Dy Tc
4 4 4 4
Direct
0.000 0.000 0.000
0.000 0.500 0.500
0.500 0.000 0.500
0.500 0.500 0.000
0.250 0.250 0.250
0.250 0.750 0.750
0.750 0.250 0.750
0.750 0.750 0.250
0.250 0.250 0.750
0.250 0.750 0.250
0.750 0.250 0.250
0.750 0.750 0.750
0.000 0.000 0.500
0.000 0.500 0.000
0.500 0.000 0.000
0.500 0.500 0.500
```

Calculated values
For the formation energy, the calculation gives 0.82 eV/f.u. As for the space-group type: F-43m. The electronic total energy is -105.337 eV/cell.

***

(7)
Here is a geometry-optimized DyYHgPb structure from Alexandria. Energies are from PBE.

Structure (POSCAR):
```
DyYHgPb
1.0
7.559 0.000 0.000
0.000 7.559 0.000
0.000 0.000 7.559
Dy Y Hg Pb
4 4 4 4
Direct
0.000 0.000 0.000
0.000 0.500 0.500
0.500 0.000 0.500
0.500 0.500 0.000
0.000 0.000 0.500
0.000 0.500 0.000
0.500 0.000 0.000
0.500 0.500 0.500
0.250 0.250 0.750
0.250 0.750 0.250
0.750 0.250 0.250
0.750 0.750 0.750
0.250 0.250 0.250
0.250 0.750 0.750
0.750 0.250 0.750
0.750 0.750 0.250
```

Calculated values
For the formation energy, the calculation gives -1.87 eV/f.u. The energy above the most stable polymorph in this dataset is 7 meV per atom. As for the space-group type: F-43m. The electronic total energy is -67.773 eV/cell.

***

(8)
Here is a geometry-optimized La3Sc structure from Alexandria. Energies are from PBE.

Structure (POSCAR):
```
La3Sc
1.0
5.095 0.000 0.000
0.000 5.095 0.000
0.000 0.000 20.483
La Sc
12 4
Direct
0.000 0.000 0.125
0.000 0.000 0.875
0.000 0.500 0.000
0.000 0.500 0.250
0.000 0.500 0.500
0.000 0.500 0.750
0.500 0.000 0.000
0.500 0.000 0.250
0.500 0.000 0.500
0.500 0.000 0.750
0.500 0.500 0.375
0.500 0.500 0.625
0.000 0.000 0.374
0.000 0.000 0.626
0.500 0.500 0.126
0.500 0.500 0.874
```

Calculated values
For the formation energy, the calculation gives 0.15 eV/f.u. As for the space-group type: I4/mmm. The electronic total energy is -83.857 eV/cell.

***

(9)
Here is a geometry-optimized TbDy2Te2S2 structure from Alexandria. Energies are from PBE.

Structure (POSCAR):
```
TbDy2Te2S2
1.0
5.074 0.000 0.000
0.000 5.074 0.000
0.000 0.000 15.577
Tb Dy Te S
2 4 4 4
Direct
0.000 0.000 0.000
0.500 0.500 0.500
0.000 0.000 0.388
0.000 0.000 0.612
0.500 0.500 0.112
0.500 0.500 0.888
0.000 0.000 0.191
0.000 0.000 0.809
0.500 0.500 0.309
0.500 0.500 0.691
0.000 0.500 0.000
0.000 0.500 0.500
0.500 0.000 0.000
0.500 0.000 0.500
```

Calculated values
The formation energy (no corrections) comes out at -1311.4 meV per atom. As for the space-group type: I4/mmm. The electronic total energy is -75.105 eV/cell.

***

(10)
Here is a geometry-optimized Ho2ThNpAs4 structure from Alexandria. Energies are from PBE.

Structure (POSCAR):
```
Ho2ThNpAs4
1.0
7.179 0.000 0.000
0.000 4.147 0.000
-2.396 0.000 6.768
Ho Th Np As
2 1 1 4
Direct
0.000 0.000 0.000
0.000 0.500 0.500
0.500 0.000 0.500
0.500 0.500 0.000
0.243 0.500 0.244
0.247 0.000 0.753
0.753 0.000 0.247
0.757 0.500 0.756
```

Calculated values
For the formation energy, the calculation gives -10.27 eV/f.u. As for the space-group type: P2/m. The electronic total energy is -58.387 eV/cell.

***

(11)
Here is a geometry-optimized ZrGaPb structure from Alexandria. Energies are from PBE.

Structure (POSCAR):
```
ZrGaPb
1.0
3.348 0.000 0.000
0.000 11.487 0.000
0.000 0.000 7.244
Zr Ga Pb
4 4 4
Direct
0.000 0.061 0.000
0.000 0.939 0.500
0.500 0.439 0.500
0.500 0.561 0.000
0.000 0.399 0.196
0.000 0.601 0.696
0.500 0.101 0.696
0.500 0.899 0.196
0.000 0.321 0.819
0.000 0.679 0.319
0.500 0.179 0.319
0.500 0.821 0.819
```

Calculated values
For the formation energy, the calculation gives -0.50 eV/f.u. The energy above the most stable polymorph in this dataset is 32 meV per atom. As for the space-group type: Cmc2_1. The electronic total energy is -63.118 eV/cell.

***

(12)
Here is a geometry-optimized CaPm3S6 structure from Alexandria. Energies are from PBE.

Structure (POSCAR):
```
CaPm3S6
1.0
6.889 0.000 0.000
0.000 7.440 0.000
-6.366 0.000 9.931
Ca Pm S
2 6 12
Direct
0.000 0.000 0.000
0.000 0.500 0.500
0.200 0.094 0.739
0.200 0.406 0.239
0.500 0.000 0.500
0.500 0.500 0.000
0.800 0.594 0.761
0.800 0.906 0.261
0.104 0.185 0.425
0.104 0.315 0.925
0.224 0.691 0.405
0.224 0.809 0.905
0.424 0.083 0.248
0.424 0.417 0.748
0.576 0.583 0.252
0.576 0.917 0.752
0.776 0.191 0.095
0.776 0.309 0.595
0.896 0.685 0.075
0.896 0.815 0.575
```

Calculated values
The formation energy (no corrections) comes out at -1808.8 meV per atom. As for the space-group type: P2_1/c. The electronic total energy is -118.213 eV/cell.

***

(13)
Here is a geometry-optimized Th2MgCu9 structure from Alexandria. Energies are from PBE.

Structure (POSCAR):
```
Th2MgCu9
1.0
2.571 1.485 8.431
-2.571 1.485 8.431
0.000 -2.969 8.431
Th Mg Cu
2 1 9
Direct
0.138 0.138 0.138
0.862 0.862 0.862
0.000 0.000 0.000
0.080 0.579 0.579
0.333 0.333 0.333
0.421 0.421 0.920
0.421 0.920 0.421
0.500 0.500 0.500
0.579 0.080 0.579
0.579 0.579 0.080
0.667 0.667 0.667
0.920 0.421 0.421
```

Calculated values
For the formation energy, the calculation gives -0.83 eV/f.u. As for the space-group type: R-3m. The electronic total energy is -54.127 eV/cell.

***

(14)
Here is a geometry-optimized Sc2Bi5Pd12 structure from Alexandria. Energies are from PBE.

Structure (POSCAR):
```
Sc2Bi5Pd12
1.0
7.221 -3.694 0.000
7.221 3.694 0.000
-0.011 0.000 6.855
Sc Bi Pd
2 5 12
Direct
0.248 0.752 0.000
0.752 0.248 0.000
0.188 0.188 0.950
0.253 0.253 0.437
0.500 0.500 0.500
0.747 0.747 0.563
0.812 0.812 0.050
0.045 0.045 0.293
0.095 0.686 0.360
0.143 0.539 0.764
0.314 0.905 0.640
0.376 0.376 0.102
0.461 0.857 0.236
0.539 0.143 0.764
0.624 0.624 0.898
0.686 0.095 0.360
0.857 0.461 0.236
0.905 0.314 0.640
0.955 0.955 0.707
```

Calculated values
For the formation energy, the calculation gives -7.78 eV/f.u. As for the space-group type: C2/m. The electronic total energy is -102.158 eV/cell.

***

(15)
Here is a geometry-optimized ThPaGe structure from Alexandria. Energies are from PBE.

Structure (POSCAR):
```
ThPaGe
1.0
6.084 0.000 0.000
0.000 6.086 0.000
-3.035 0.000 8.315
Th Pa Ge
4 4 4
Direct
0.174 0.000 0.349
0.326 0.500 0.651
0.674 0.500 0.349
0.826 0.000 0.651
0.250 0.250 0.000
0.250 0.750 0.000
0.750 0.250 0.000
0.750 0.750 0.000
0.133 0.500 0.268
0.367 0.000 0.732
0.633 0.000 0.268
0.867 0.500 0.732
```

Calculated values
For the formation energy, the calculation gives -1.61 eV/f.u. The energy above the most stable polymorph in this dataset is 0 meV per atom. As for the space-group type: C2/m. The electronic total energy is -92.565 eV/cell.

***

(16)
Here is a geometry-optimized TlCd2Os structure from Alexandria. Energies are from PBE.

Structure (POSCAR):
```
TlCd2Os
1.0
2.960 0.000 0.000
-1.480 2.563 0.000
0.000 0.000 34.430
Tl Cd Os
3 6 3
Direct
0.000 0.000 0.000
0.333 0.667 0.667
0.667 0.333 0.333
0.000 0.000 0.526
0.000 0.000 0.774
0.333 0.667 0.193
0.333 0.667 0.441
0.667 0.333 0.108
0.667 0.333 0.859
0.000 0.000 0.261
0.333 0.667 0.928
0.667 0.333 0.594
```

Calculated values
For the formation energy, the calculation gives 2.25 eV/f.u. The energy above the most stable polymorph in this dataset is 86 meV per atom. As for the space-group type: R3m. The electronic total energy is -39.519 eV/cell.

***

(17)
Here is a geometry-optimized CaSb2O4 structure from Alexandria. Energies are from PBE.

Structure (POSCAR):
```
CaSb2O4
1.0
1.671 -5.594 0.000
1.671 5.594 0.000
0.000 0.000 11.209
Ca Sb O
2 4 8
Direct
0.116 0.884 0.750
0.884 0.116 0.250
0.368 0.632 0.578
0.368 0.632 0.922
0.632 0.368 0.078
0.632 0.368 0.422
0.000 0.000 0.000
0.000 0.000 0.500
0.269 0.731 0.122
0.269 0.731 0.378
0.464 0.536 0.750
0.536 0.464 0.250
0.731 0.269 0.622
0.731 0.269 0.878
```

Calculated values
The formation energy (no corrections) comes out at -1548.9 meV per atom. The energy above the most stable polymorph in this dataset is 246 meV per atom. As for the space-group type: Cmcm. The electronic total energy is -81.842 eV/cell.

***

(18)
Here is a geometry-optimized HoTh2GaN5 structure from Alexandria. Energies are from PBE.

Structure (POSCAR):
```
HoTh2GaN5
1.0
1.741 -7.005 0.000
1.741 7.005 0.000
0.000 0.000 10.509
Ho Th Ga N
2 4 2 10
Direct
0.203 0.797 0.500
0.797 0.203 0.000
0.122 0.878 0.195
0.130 0.870 0.794
0.870 0.130 0.294
0.878 0.122 0.695
0.494 0.506 0.988
0.506 0.494 0.488
0.042 0.958 0.567
0.297 0.703 0.163
0.304 0.696 0.845
0.363 0.637 0.519
0.499 0.501 0.298
0.501 0.499 0.798
0.637 0.363 0.019
0.696 0.304 0.345
0.703 0.297 0.663
0.958 0.042 0.067
```

Calculated values
The formation energy (no corrections) comes out at -1116.5 meV per atom. As for the space-group type: Cmc2_1. The electronic total energy is -148.240 eV/cell.

***

(19)
Here is a geometry-optimized CaPmPb3 structure from Alexandria. Energies are from PBE.

Structure (POSCAR):
```
CaPmPb3
1.0
7.766 -4.436 0.000
7.766 4.436 0.000
0.000 0.000 9.444
Ca Pm Pb
4 4 12
Direct
0.000 0.000 0.250
0.000 0.000 0.750
0.499 0.501 0.750
0.501 0.499 0.250
0.000 0.500 0.250
0.000 0.500 0.750
0.500 0.000 0.250
0.500 0.000 0.750
0.098 0.700 0.000
0.098 0.700 0.500
0.291 0.291 0.000
0.291 0.291 0.500
0.300 0.902 0.000
0.300 0.902 0.500
0.700 0.098 0.000
0.700 0.098 0.500
0.709 0.709 0.000
0.709 0.709 0.500
0.902 0.300 0.000
0.902 0.300 0.500
```

Calculated values
For the formation energy, the calculation gives -1.93 eV/f.u. As for the space-group type: Cmcm. The electronic total energy is -79.237 eV/cell.

***

(20)
Here is a geometry-optimized Ca4AsSe2Cl structure from Alexandria. Energies are from PBE.

Structure (POSCAR):
```
Ca4AsSe2Cl
1.0
0.000 6.104 4.174
4.174 0.000 4.174
4.174 6.104 0.000
Ca As Se Cl
4 1 2 1
Direct
0.234 0.766 0.234
0.501 0.998 0.499
0.766 0.234 0.766
0.998 0.501 0.002
0.001 0.001 0.999
0.249 0.249 0.251
0.749 0.749 0.751
0.501 0.501 0.499
```

Calculated values
The formation energy (no corrections) comes out at -1908.7 meV per atom. As for the space-group type: Fmm2. The electronic total energy is -36.741 eV/cell.

***

(21)
Here is a geometry-optimized Co2HgN structure from Alexandria. Energies are from PBE.

Structure (POSCAR):
```
Co2HgN
1.0
5.938 0.000 0.000
0.000 5.938 0.000
0.000 0.000 5.938
Co Hg N
8 4 4
Direct
0.250 0.250 0.250
0.250 0.250 0.750
0.250 0.750 0.250
0.250 0.750 0.750
0.750 0.250 0.250
0.750 0.250 0.750
0.750 0.750 0.250
0.750 0.750 0.750
0.000 0.000 0.000
0.000 0.500 0.500
0.500 0.000 0.500
0.500 0.500 0.000
0.000 0.000 0.500
0.000 0.500 0.000
0.500 0.000 0.000
0.500 0.500 0.500
```

Calculated values
The formation energy (no corrections) comes out at 1369.0 meV per atom. The energy above the most stable polymorph in this dataset is 1142 meV per atom. As for the space-group type: Fm-3m. The electronic total energy is -69.451 eV/cell.

***

(22)
Here is a geometry-optimized Rb2AlMoI6 structure from Alexandria. Energies are from PBE.

Structure (POSCAR):
```
Rb2AlMoI6
1.0
0.000 5.928 5.928
5.928 0.000 5.928
5.928 5.928 0.000
Rb Al Mo I
2 1 1 6
Direct
0.250 0.250 0.250
0.750 0.750 0.750
0.000 0.000 0.000
0.500 0.500 0.500
0.260 0.260 0.740
0.260 0.740 0.260
0.260 0.740 0.740
0.740 0.260 0.260
0.740 0.260 0.740
0.740 0.740 0.260
```

Calculated values
The formation energy (no corrections) comes out at -641.1 meV per atom. As for the space-group type: Fm-3m. The electronic total energy is -32.221 eV/cell.

***

(23)
Here is a geometry-optimized SiRuSN2 structure from Alexandria. Energies are from PBE.

Structure (POSCAR):
```
SiRuSN2
1.0
3.785 0.000 0.000
0.000 3.785 0.000
0.000 0.000 5.085
Si Ru S N
1 1 1 2
Direct
0.000 0.000 0.000
0.500 0.500 0.500
0.500 0.500 0.000
0.000 0.500 0.500
0.500 0.000 0.500
```

Calculated values
The formation energy (no corrections) comes out at 894.8 meV per atom. The energy above the most stable polymorph in this dataset is 155 meV per atom. As for the space-group type: P4/mmm. The electronic total energy is -31.003 eV/cell.